#1
# BaTl2CoHg PBE relaxed
# DOS at the Fermi energy = 0.76 states/eV/atom
data_BaTl2CoHg
_cell_length_a 5.1335
_cell_length_b 5.1335
_cell_length_c 5.2475
_cell_angle_alpha 90.00
_cell_angle_beta 90.00
_cell_angle_gamma 90.00
_symmetry_space_group_name_H-M 'P 4/m m m'
_symmetry_Int_Tables_number 123
_symmetry_space_group_name_Hall '-P 4 2'
loop_
_atom_site_label
_atom_site_fract_x
_atom_site_fract_y
_atom_site_fract_z
Ba1 0.0000 0.0000 0.0000
Tl1 0.0000 0.5000 0.5000
Co1 0.5000 0.5000 0.5000
Hg1 0.5000 0.5000 0.0000

---

#2
# BaTl2CoHg PBE relaxed
# DOS at the Fermi energy = 0.53 states/eV/atom
data_BaTl2CoHg
_cell_length_a 5.1357
_cell_length_b 5.1357
_cell_length_c 5.7344
_cell_angle_alpha 90.00
_cell_angle_beta 90.00
_cell_angle_gamma 90.00
_symmetry_space_group_name_H-M 'P 4/m m m'
_symmetry_Int_Tables_number 123
_symmetry_space_group_name_Hall '-P 4 2'
loop_
_atom_site_label
_atom_site_fract_x
_atom_site_fract_y
_atom_site_fract_z
Ba1 0.0000 0.0000 0.0000
Tl1 0.0000 0.5000 0.5000
Co1 0.0000 0.0000 0.5000
Hg1 0.5000 0.5000 0.0000

---

Which structure above is the least stable one? #2 is the least stable one.